No. 1
The following is a DFT calculation (PBE+U) of a geometry-optimized HfMnNO2 structure.

Properties
**V**: 69.5 Å³ per cell
**Energy**: -8.4950 eV per atom
**D(E_F)**: 2.56 states/eV/f.u.

Geometry as extended XYZ:
```
5
Lattice="4.056 0.000 0.000 0.000 4.056 0.000 0.000 0.000 4.227" Properties=species:S:1:pos:R:3 pbc="T T T"
Hf 0.000 0.000 0.000
Mn 2.028 2.028 2.113
N 0.000 0.000 2.113
O 0.000 2.028 0.000
O 2.028 0.000 0.000
```

---

No. 2
The following is a DFT calculation (PBE+U) of a geometry-optimized HfMnNO2 structure.

Properties
**V**: 53.8 Å³ per cell
**Energy**: -8.1541 eV per atom
**D(E_F)**: 1.04 states/eV/f.u.

Geometry as extended XYZ:
```
5
Lattice="3.691 0.000 0.000 0.000 3.691 0.000 0.000 0.000 3.947" Properties=species:S:1:pos:R:3 pbc="T T T"
Hf 0.000 0.000 0.000
Mn 1.845 1.845 1.973
N 1.845 1.845 0.000
O 0.000 1.845 1.973
O 1.845 0.000 1.973
```

---

No. 3
The following is a DFT calculation (PBE+U) of a geometry-optimized HfMnNO2 structure.

Properties
**V**: 64.8 Å³ per cell
**Energy**: -7.4585 eV per atom
**D(E_F)**: 1.37 states/eV/f.u.

Geometry as extended XYZ:
```
5
Lattice="3.355 0.000 0.000 0.000 3.355 0.000 0.000 0.000 5.755" Properties=species:S:1:pos:R:3 pbc="T T T"
Hf 0.000 0.000 0.000
Mn 0.000 0.000 2.877
N 1.677 1.677 0.000
O 0.000 1.677 2.877
O 1.677 0.000 2.877
```